Model A:
# ScCoCuGe

A geometry-optimized ScCoCuGe structure (PBE, OQMD via LeMat-Bulk).

```
data_ScCoCuGe
_cell_length_a 6.0607
_cell_length_b 6.0607
_cell_length_c 6.0607
_cell_angle_alpha 90.00
_cell_angle_beta 90.00
_cell_angle_gamma 90.00
_symmetry_space_group_name_H-M 'F -4 3 m'
_symmetry_Int_Tables_number 216
_symmetry_space_group_name_Hall 'F -4 2 3'
loop_
_atom_site_label
_atom_site_type_symbol
_atom_site_fract_x
_atom_site_fract_y
_atom_site_fract_z
_atom_site_occupancy
Sc1 Sc 0.0000 0.0000 0.0000 1
Co1 Co 0.2500 0.2500 0.2500 1
Cu1 Cu 0.2500 0.2500 0.7500 1
Ge1 Ge 0.0000 0.0000 0.5000 1
```

Model B:
# ScCoCuGe

A geometry-optimized ScCoCuGe structure (PBE, OQMD via LeMat-Bulk).

```
data_ScCoCuGe
_cell_length_a 6.1003
_cell_length_b 6.1003
_cell_length_c 6.1003
_cell_angle_alpha 90.00
_cell_angle_beta 90.00
_cell_angle_gamma 90.00
_symmetry_space_group_name_H-M 'F -4 3 m'
_symmetry_Int_Tables_number 216
_symmetry_space_group_name_Hall 'F -4 2 3'
loop_
_atom_site_label
_atom_site_type_symbol
_atom_site_fract_x
_atom_site_fract_y
_atom_site_fract_z
_atom_site_occupancy
Sc1 Sc 0.0000 0.0000 0.0000 1
Co1 Co 0.0000 0.0000 0.5000 1
Cu1 Cu 0.2500 0.2500 0.7500 1
Ge1 Ge 0.2500 0.2500 0.2500 1
```

Model C:
# ScCoCuGe

A geometry-optimized ScCoCuGe structure (PBE, OQMD via LeMat-Bulk).

```
data_ScCoCuGe
_cell_length_a 6.1730
_cell_length_b 6.1730
_cell_length_c 6.1730
_cell_angle_alpha 90.00
_cell_angle_beta 90.00
_cell_angle_gamma 90.00
_symmetry_space_group_name_H-M 'F -4 3 m'
_symmetry_Int_Tables_number 216
_symmetry_space_group_name_Hall 'F -4 2 3'
loop_
_atom_site_label
_atom_site_type_symbol
_atom_site_fract_x
_atom_site_fract_y
_atom_site_fract_z
_atom_site_occupancy
Sc1 Sc 0.0000 0.0000 0.0000 1
Co1 Co 0.2500 0.2500 0.7500 1
Cu1 Cu 0.0000 0.0000 0.5000 1
Ge1 Ge 0.2500 0.2500 0.2500 1
```

Energies in meV/atom, measured from the most stable structure: model A 0; model B 49; model C 194.